Computed, not measured: a relaxed Y2HfTlO crystal at the PBE-GGA level of DFT.

Unit cell a=4.9377 b=4.9377 c=4.3137 alpha=90.00 beta=90.00 gamma=90.00
With the nearest neighbours (Å) after each atom.
Atoms (fractional coordinates):
Y (0.0000, 0.5000, 0.0000)  2 O 2.47
Y (0.5000, 0.0000, 0.0000)  2 O 2.47
Tl (0.5000, 0.5000, 0.5000)  8 Y 3.28, 4 Hf 3.49
Hf (0.0000, 0.0000, 0.5000)  2 O 2.16
O (0.0000, 0.0000, 0.0000)  2 Hf 2.16

## Properties
formation energy (no corrections) = -1171 meV per atom
space-group type = P4/mmm (123)
electronic total energy = -7.21 eV/atom